A | ## CoGe3P (GGA-PBE)

Data for CoGe3P after structural relaxation.

abc: 4.7145 4.7145 4.7145
angles: 90.00 90.00 90.00
Closest atoms and distances in Å follow each position.
Fractional coordinates of all 5 atoms:
Co 0.0000 0.0000 0.0000  12 Ge 3.33
Ge 0.0000 0.5000 0.5000  2 P 2.36
Ge 0.5000 0.0000 0.5000  2 P 2.36
Ge 0.5000 0.5000 0.0000  2 P 2.36
P 0.5000 0.5000 0.5000  6 Ge 2.36

## Properties
* space group: Pm-3m, No. 221
* D(E_F): 5.208 states/eV/cell

B | ## CoGe3P (GGA-PBE)

Data for CoGe3P after structural relaxation.

abc: 4.5095 4.5095 4.5095
angles: 90.00 90.00 90.00
Closest atoms and distances in Å follow each position.
Fractional coordinates of all 5 atoms:
Co 0.0000 0.0000 0.0000  6 Ge 2.25
Ge 0.0000 0.0000 0.5000  2 Co 2.25
Ge 0.0000 0.5000 0.0000  2 Co 2.25
Ge 0.5000 0.0000 0.0000  2 Co 2.25
P 0.5000 0.5000 0.5000  12 Ge 3.19

## Properties
* space group: Pm-3m, No. 221
* D(E_F): 0.629 states/eV/cell

Going by the computed energies, the most stable comes first: B, A.

A | ## Pa3Co3Ge2 (GGA-PBE)

Data for Pa3Co3Ge2 after structural relaxation.

abc: 7.6041 13.8806 5.4662
angles: 90.00 90.00 90.00
Closest atoms and distances in Å follow each position.
Fractional coordinates of all 32 atoms:
Pa 0.0395 0.1053 0.1544  5 Co 2.73-3.04, 3 Ge 3.00-3.05
Pa 0.0395 0.3947 0.1544  5 Co 2.73-3.04, 3 Ge 3.00-3.05
Pa 0.1604 0.2500 0.6081  5 Co 2.81-3.09, 4 Ge 2.88-2.97
Pa 0.3396 0.7500 0.1081  5 Co 2.81-3.09, 4 Ge 2.88-2.97
Pa 0.4605 0.6053 0.6544  5 Co 2.73-3.04, 3 Ge 3.00-3.05
Pa 0.4605 0.8947 0.6544  5 Co 2.73-3.04, 3 Ge 3.00-3.05
Pa 0.5395 0.1053 0.3456  5 Co 2.73-3.04, 3 Ge 3.00-3.05
Pa 0.5395 0.3947 0.3456  5 Co 2.73-3.04, 3 Ge 3.00-3.05
Pa 0.6604 0.2500 0.8919  5 Co 2.81-3.09, 4 Ge 2.88-2.97
Pa 0.8396 0.7500 0.3919  5 Co 2.81-3.09, 4 Ge 2.88-2.97
Pa 0.9605 0.6053 0.8456  5 Co 2.73-3.04, 3 Ge 3.00-3.05
Pa 0.9605 0.8947 0.8456  5 Co 2.73-3.04, 3 Ge 3.00-3.05
Co 0.1577 0.0355 0.5913  3 Ge 2.36-2.40
Co 0.1577 0.4645 0.5913  3 Ge 2.36-2.40
Co 0.2086 0.7500 0.6267  2 Ge 2.60, 3 Pa 2.78-2.81
Co 0.2914 0.2500 0.1267  2 Ge 2.60, 3 Pa 2.78-2.81
Co 0.3423 0.5355 0.0913  3 Ge 2.36-2.40
Co 0.3423 0.9645 0.0913  3 Ge 2.36-2.40
Co 0.6577 0.0355 0.9087  3 Ge 2.36-2.40
Co 0.6577 0.4645 0.9087  3 Ge 2.36-2.40
Co 0.7086 0.7500 0.8733  2 Ge 2.60, 3 Pa 2.78-2.81
Co 0.7914 0.2500 0.3733  2 Ge 2.60, 3 Pa 2.78-2.81
Co 0.8423 0.5355 0.4087  3 Ge 2.36-2.40
Co 0.8423 0.9645 0.4087  3 Ge 2.36-2.40
Ge 0.1267 0.6062 0.3438  4 Co 2.36-2.60
Ge 0.1267 0.8938 0.3438  4 Co 2.36-2.60
Ge 0.3733 0.1062 0.8438  4 Co 2.36-2.60
Ge 0.3733 0.3938 0.8438  4 Co 2.36-2.60
Ge 0.6267 0.6062 0.1562  4 Co 2.36-2.60
Ge 0.6267 0.8938 0.1562  4 Co 2.36-2.60
Ge 0.8733 0.1062 0.6562  4 Co 2.36-2.60
Ge 0.8733 0.3938 0.6562  4 Co 2.36-2.60

## Properties
* space group: Pnma, No. 62
* D(E_F): 42.026 states/eV/cell

B | ## Pa3Co3Ge2 (GGA-PBE)

Data for Pa3Co3Ge2 after structural relaxation.

abc: 5.6935 5.6935 12.9049
angles: 90.00 90.00 137.65
Closest atoms and distances in Å follow each position.
Fractional coordinates of all 16 atoms:
Pa 0.0695 0.9305 0.6069  6 Co 2.87-2.92, 4 Ge 3.04-3.08, 1 Pa 3.13
Pa 0.0695 0.9305 0.8931  6 Co 2.87-2.92, 4 Ge 3.04-3.08, 1 Pa 3.13
Pa 0.3679 0.6321 0.7500  2 Co 2.60
Pa 0.6321 0.3679 0.2500  2 Co 2.60
Pa 0.9305 0.0695 0.1069  6 Co 2.87-2.92, 4 Ge 3.04-3.08, 1 Pa 3.13
Pa 0.9305 0.0695 0.3931  6 Co 2.87-2.92, 4 Ge 3.04-3.08, 1 Pa 3.13
Co 0.3582 0.6418 0.2500  2 Ge 2.48
Co 0.3882 0.6118 0.5495  3 Ge 2.43-2.58, 1 Pa 2.60, 1 Co 2.70
Co 0.3882 0.6118 0.9505  3 Ge 2.43-2.58, 1 Pa 2.60, 1 Co 2.70
Co 0.6118 0.3882 0.0495  3 Ge 2.43-2.58, 1 Pa 2.60, 1 Co 2.70
Co 0.6118 0.3882 0.4505  3 Ge 2.43-2.58, 1 Pa 2.60, 1 Co 2.70
Co 0.6418 0.3582 0.7500  2 Ge 2.48
Ge 0.2205 0.7795 0.0952  4 Co 2.43-2.58
Ge 0.2205 0.7795 0.4048  4 Co 2.43-2.58
Ge 0.7795 0.2205 0.5952  4 Co 2.43-2.58
Ge 0.7795 0.2205 0.9048  4 Co 2.43-2.58

## Properties
* space group: Cmcm, No. 63
* D(E_F): 15.640 states/eV/cell

Going by the computed energies, the most stable comes first: B, A.

A | ## PaCo3Ge2 (GGA-PBE)

Data for PaCo3Ge2 after structural relaxation.

abc: 7.8308 7.8308 6.8965
angles: 115.84 115.84 28.88
Closest atoms and distances in Å follow each position.
Fractional coordinates of all 12 atoms:
Pa 0.1504 0.1504 0.0794  7 Ge 2.97-3.12, 7 Co 3.04-3.28
Pa 0.8496 0.8496 0.9206  7 Ge 2.97-3.12, 7 Co 3.04-3.28
Co 0.0324 0.0324 0.3743  3 Ge 2.29-2.38, 1 Co 2.35
Co 0.3134 0.3134 0.5553  4 Ge 2.32-2.54, 1 Co 2.50
Co 0.4108 0.4108 0.3432  3 Ge 2.34-2.43, 4 Co 2.50-2.62
Co 0.5892 0.5892 0.6568  3 Ge 2.34-2.43, 4 Co 2.50-2.62
Co 0.6866 0.6866 0.4447  4 Ge 2.32-2.54, 1 Co 2.50
Co 0.9676 0.9676 0.6257  3 Ge 2.29-2.38, 1 Co 2.35
Ge 0.1897 0.1897 0.6838  6 Co 2.38-2.54
Ge 0.4785 0.4785 0.8083  4 Co 2.29-2.34, 1 Ge 2.42
Ge 0.5215 0.5215 0.1917  4 Co 2.29-2.34, 1 Ge 2.42
Ge 0.8103 0.8103 0.3162  6 Co 2.38-2.54

## Properties
* space group: C2/m, No. 12
* D(E_F): 12.035 states/eV/cell

B | ## PaCo3Ge2 (GGA-PBE)

Data for PaCo3Ge2 after structural relaxation.

abc: 8.0668 8.0668 9.2668
angles: 106.17 106.17 27.39
Closest atoms and distances in Å follow each position.
Fractional coordinates of all 18 atoms:
Pa 0.0000 0.0000 0.0000  6 Co 2.86-2.98, 6 Ge 2.93-3.03
Pa 0.1643 0.1643 0.7067  7 Co 2.96-3.30, 6 Ge 2.96-3.01
Pa 0.8357 0.8357 0.2933  7 Co 2.96-3.30, 6 Ge 2.96-3.01
Co 0.0493 0.0493 0.3356  4 Ge 2.37-2.43, 1 Co 2.53
Co 0.2170 0.2170 0.3888  4 Ge 2.31-2.42, 1 Co 2.53
Co 0.3240 0.3240 0.0445  4 Ge 2.34-2.42, 1 Co 2.59
Co 0.3842 0.3842 0.8116  4 Ge 2.35-2.50, 1 Co 2.59
Co 0.5000 0.5000 0.5000  4 Ge 2.36-2.40
Co 0.6158 0.6158 0.1884  4 Ge 2.35-2.50, 1 Co 2.59
Co 0.6760 0.6760 0.9555  4 Ge 2.34-2.42, 1 Co 2.59
Co 0.7830 0.7830 0.6112  4 Ge 2.31-2.42, 1 Co 2.53
Co 0.9507 0.9507 0.6644  4 Ge 2.37-2.43, 1 Co 2.53
Ge 0.1944 0.1944 0.1226  6 Co 2.34-2.44
Ge 0.3606 0.3606 0.5492  7 Co 2.31-2.43
Ge 0.4650 0.4650 0.2300  5 Co 2.37-2.50
Ge 0.5350 0.5350 0.7700  5 Co 2.37-2.50
Ge 0.6394 0.6394 0.4508  7 Co 2.31-2.43
Ge 0.8056 0.8056 0.8774  6 Co 2.34-2.44

## Properties
* space group: C2/m, No. 12
* D(E_F): 12.241 states/eV/cell

Going by the computed energies, the most stable comes first: B, A.

A | ## PaCo4Ge (GGA-PBE)

Data for PaCo4Ge after structural relaxation.

abc: 4.8711 4.8711 4.8711
angles: 60.00 60.00 60.00
Closest atoms and distances in Å follow each position.
Fractional coordinates of all 6 atoms:
Pa 0.0000 0.0000 0.0000  12 Co 2.86, 4 Ge 2.98
Co 0.1309 0.6230 0.6230  6 Co 2.40-2.47
Co 0.6230 0.1309 0.6230  6 Co 2.40-2.47
Co 0.6230 0.6230 0.1309  6 Co 2.40-2.47
Co 0.6230 0.6230 0.6230  6 Co 2.40-2.47
Ge 0.2500 0.2500 0.2500  12 Co 2.85, 4 Pa 2.98

## Properties
* space group: F-43m, No. 216
* D(E_F): 7.917 states/eV/cell

B | ## PaCo4Ge (GGA-PBE)

Data for PaCo4Ge after structural relaxation.

abc: 9.8142 9.8142 9.8142
angles: 153.24 153.24 38.21
Closest atoms and distances in Å follow each position.
Fractional coordinates of all 12 atoms:
Pa 0.3750 0.6250 0.7500  4 Co 2.85
Pa 0.6250 0.3750 0.2500  4 Co 2.85
Co 0.2337 0.2378 0.5042  4 Co 2.23-2.35, 1 Ge 2.32
Co 0.2337 0.7295 0.9958  4 Co 2.23-2.35, 1 Ge 2.32
Co 0.2378 0.2337 0.0042  4 Co 2.23-2.35, 1 Ge 2.32
Co 0.2705 0.7663 0.5042  4 Co 2.23-2.35, 1 Ge 2.32
Co 0.7295 0.2337 0.4958  4 Co 2.23-2.35, 1 Ge 2.32
Co 0.7622 0.7663 0.9958  4 Co 2.23-2.35, 1 Ge 2.32
Co 0.7663 0.2705 0.0042  4 Co 2.23-2.35, 1 Ge 2.32
Co 0.7663 0.7622 0.4958  4 Co 2.23-2.35, 1 Ge 2.32
Ge 0.1250 0.8750 0.2500  4 Co 2.32
Ge 0.8750 0.1250 0.7500  4 Co 2.32

## Properties
* space group: I4_1/amd, No. 141
* D(E_F): 17.771 states/eV/cell

Going by the computed energies, the most stable comes first: A, B.

A | ## Pa3Co2Ge3 (GGA-PBE)

Data for Pa3Co2Ge3 after structural relaxation.

abc: 5.4946 5.4946 14.2618
angles: 90.00 90.00 135.80
Closest atoms and distances in Å follow each position.
Fractional coordinates of all 16 atoms:
Pa 0.0829 0.9171 0.6100  7 Ge 2.96-3.14, 3 Co 2.96-2.97
Pa 0.0829 0.9171 0.8900  7 Ge 2.96-3.14, 3 Co 2.96-2.97
Pa 0.3631 0.6369 0.7500  5 Ge 2.94-3.00, 4 Co 2.98
Pa 0.6369 0.3631 0.2500  5 Ge 2.94-3.00, 4 Co 2.98
Pa 0.9171 0.0829 0.1100  7 Ge 2.96-3.14, 3 Co 2.96-2.97
Pa 0.9171 0.0829 0.3900  7 Ge 2.96-3.14, 3 Co 2.96-2.97
Co 0.2082 0.7918 0.1083  4 Ge 2.43-2.69
Co 0.2082 0.7918 0.3917  4 Ge 2.43-2.69
Co 0.7918 0.2082 0.6083  4 Ge 2.43-2.69
Co 0.7918 0.2082 0.8917  4 Ge 2.43-2.69
Ge 0.3477 0.6523 0.2500  2 Co 2.47
Ge 0.3729 0.6271 0.5395  3 Co 2.43-2.69
Ge 0.3729 0.6271 0.9605  3 Co 2.43-2.69
Ge 0.6271 0.3729 0.0395  3 Co 2.43-2.69
Ge 0.6271 0.3729 0.4605  3 Co 2.43-2.69
Ge 0.6523 0.3477 0.7500  2 Co 2.47

## Properties
* space group: Cmcm, No. 63
* D(E_F): 18.783 states/eV/cell

B | ## Pa3Co2Ge3 (GGA-PBE)

Data for Pa3Co2Ge3 after structural relaxation.

abc: 7.5620 14.1828 5.5947
angles: 90.00 90.00 90.00
Closest atoms and distances in Å follow each position.
Fractional coordinates of all 32 atoms:
Pa 0.0361 0.1090 0.1107  3 Co 2.94-3.06, 7 Ge 2.95-3.20
Pa 0.0361 0.3910 0.1107  3 Co 2.94-3.06, 7 Ge 2.95-3.20
Pa 0.1776 0.2500 0.6317  4 Co 2.89-2.92, 5 Ge 2.98-3.04
Pa 0.3224 0.7500 0.1317  4 Co 2.89-2.92, 5 Ge 2.98-3.04
Pa 0.4639 0.6090 0.6107  3 Co 2.94-3.06, 7 Ge 2.95-3.20
Pa 0.4639 0.8910 0.6107  3 Co 2.94-3.06, 7 Ge 2.95-3.20
Pa 0.5361 0.1090 0.3893  3 Co 2.94-3.06, 7 Ge 2.95-3.20
Pa 0.5361 0.3910 0.3893  3 Co 2.94-3.06, 7 Ge 2.95-3.20
Pa 0.6776 0.2500 0.8683  4 Co 2.89-2.92, 5 Ge 2.98-3.04
Pa 0.8224 0.7500 0.3683  4 Co 2.89-2.92, 5 Ge 2.98-3.04
Pa 0.9639 0.6090 0.8893  3 Co 2.94-3.06, 7 Ge 2.95-3.20
Pa 0.9639 0.8910 0.8893  3 Co 2.94-3.06, 7 Ge 2.95-3.20
Co 0.1085 0.6115 0.3779  4 Ge 2.42-2.54
Co 0.1085 0.8885 0.3779  4 Ge 2.42-2.54
Co 0.3915 0.1115 0.8779  4 Ge 2.42-2.54
Co 0.3915 0.3885 0.8779  4 Ge 2.42-2.54
Co 0.6085 0.6115 0.1221  4 Ge 2.42-2.54
Co 0.6085 0.8885 0.1221  4 Ge 2.42-2.54
Co 0.8915 0.1115 0.6221  4 Ge 2.42-2.54
Co 0.8915 0.3885 0.6221  4 Ge 2.42-2.54
Ge 0.1748 0.7500 0.6259  2 Co 2.46
Ge 0.1805 0.0393 0.6032  3 Co 2.42-2.54
Ge 0.1805 0.4607 0.6032  3 Co 2.42-2.54
Ge 0.3195 0.5393 0.1032  3 Co 2.42-2.54
Ge 0.3195 0.9607 0.1032  3 Co 2.42-2.54
Ge 0.3252 0.2500 0.1259  2 Co 2.46
Ge 0.6748 0.7500 0.8741  2 Co 2.46
Ge 0.6805 0.0393 0.8968  3 Co 2.42-2.54
Ge 0.6805 0.4607 0.8968  3 Co 2.42-2.54
Ge 0.8195 0.5393 0.3968  3 Co 2.42-2.54
Ge 0.8195 0.9607 0.3968  3 Co 2.42-2.54
Ge 0.8252 0.2500 0.3741  2 Co 2.46

## Properties
* space group: Pnma, No. 62
* D(E_F): 40.123 states/eV/cell

Going by the computed energies, the most stable comes first: A, B.